## K2Tl3Hg4 (PBE)

Data for a geometry-optimized K2Tl3Hg4 structure.

abc: 9.624 9.624 9.652
angles: 90.00 90.00 138.87
Fractional positions:
K 0.112 0.888 0.914
K 0.388 0.612 0.414
K 0.612 0.388 0.586
K 0.888 0.112 0.086
Tl 0.000 0.000 0.500
Tl 0.031 0.469 0.750
Tl 0.469 0.031 0.250
Tl 0.500 0.500 0.000
Tl 0.531 0.969 0.750
Tl 0.969 0.531 0.250
Hg 0.179 0.821 0.532
Hg 0.201 0.299 0.750
Hg 0.299 0.201 0.250
Hg 0.321 0.679 0.032
Hg 0.679 0.321 0.968
Hg 0.701 0.799 0.750
Hg 0.799 0.701 0.250
Hg 0.821 0.179 0.468

Calculated values
total moment: 0.00 μB/cell
ΔE to the lowest computed polymorph: 0.000 eV per atom
E_form: -1.4 eV/f.u.

## K2Tl2Hg (PBE)

Data for a geometry-optimized K2Tl2Hg structure.

abc: 10.631 10.631 10.631
angles: 155.66 155.66 34.69
Fractional positions:
K 0.099 0.099 0.000
K 0.901 0.901 0.000
Tl 0.250 0.750 0.500
Tl 0.750 0.250 0.500
Hg 0.500 0.500 0.000

Calculated values
total moment: 0.00 μB/cell
ΔE to the lowest computed polymorph: 0.074 eV per atom
E_form: -0.4 eV/f.u.

## KTl2Hg8 (PBE)

Data for a geometry-optimized KTl2Hg8 structure.

abc: 10.139 10.139 4.339
angles: 102.10 102.10 123.66
Fractional positions:
K 0.000 0.000 0.000
Tl 0.376 0.624 0.500
Tl 0.624 0.376 0.500
Hg 0.035 0.351 0.686
Hg 0.239 0.761 0.000
Hg 0.325 0.325 0.842
Hg 0.351 0.035 0.686
Hg 0.649 0.965 0.314
Hg 0.675 0.675 0.158
Hg 0.761 0.239 0.000
Hg 0.965 0.649 0.314

Calculated values
total moment: 0.00 μB/cell
ΔE to the lowest computed polymorph: 0.000 eV per atom
E_form: -0.9 eV/f.u.

## K2Tl2Hg (PBE)

Data for a geometry-optimized K2Tl2Hg structure.

abc: 6.860 6.860 12.612
angles: 115.14 115.14 46.57
Fractional positions:
K 0.007 0.007 0.329
K 0.201 0.201 0.115
K 0.799 0.799 0.885
K 0.993 0.993 0.671
Tl 0.355 0.355 0.447
Tl 0.493 0.493 0.116
Tl 0.507 0.507 0.884
Tl 0.645 0.645 0.553
Hg 0.274 0.274 0.652
Hg 0.726 0.726 0.348

Calculated values
total moment: 0.00 μB/cell
ΔE to the lowest computed polymorph: 0.026 eV per atom
E_form: -0.6 eV/f.u.